Record 1
First-principles (PBE) data for crystalline RbSr2Ge2 at its relaxed geometry, as listed in the Alexandria database.

```
RbSr2Ge2
1.0
-2.863 2.863 6.461
2.863 -2.863 6.461
2.863 2.863 -6.461
Rb Sr Ge
1 2 2
direct
0.000 0.000 0.000 Rb
0.338 0.338 0.000 Sr
0.662 0.662 0.000 Sr
0.250 0.750 0.500 Ge
0.750 0.250 0.500 Ge
```

Its crystal system is tetragonal. Its theoretical density is 3.18 g cm⁻³. The calculation puts the density of states at the Fermi level at 4.21 states/eV/cell. For the total energy, the calculation gives -2.73 eV/atom.

***

Record 2
First-principles (PBE) data for crystalline Rb2SrGe2 at its relaxed geometry, as listed in the Alexandria database.

```
Rb2SrGe2
1.0
-2.452 2.452 7.705
2.452 -2.452 7.705
2.452 2.452 -7.705
Rb Sr Ge
2 1 2
direct
0.250 0.750 0.500 Rb
0.750 0.250 0.500 Rb
0.000 0.000 0.000 Sr
0.422 0.422 0.000 Ge
0.578 0.578 0.000 Ge
```

Its crystal system is tetragonal. Its theoretical density is 3.62 g cm⁻³. The calculation puts the density of states at the Fermi level at 2.36 states/eV/cell. For the total energy, the calculation gives -2.63 eV/atom. Its energy above the most stable polymorph in this dataset is 0.0 meV per atom.